A relaxed structure of La2CuP. Source: the Alexandria database, functional PBE-GGA.

Values from the calculation:
Space group: No. 123

a b c (Å): 5.032 5.032 3.763
angles (deg): 90.00 90.00 90.00
Element x y z (fractional)
1 La 0.000 0.500 0.000
2 La 0.500 0.000 0.000
3 Cu 0.000 0.000 0.500
4 P 0.500 0.500 0.500


A relaxed structure of La2CuP. Source: the Alexandria database, functional PBE-GGA.

Values from the calculation:
Space group: No. 38

a b c (Å): 4.113 5.936 5.936
angles (deg): 42.03 90.00 90.00
Element x y z (fractional)
1 La 0.000 0.000 0.000
2 La 0.500 0.286 0.286
3 Cu 0.000 0.702 0.702
4 P 0.500 0.570 0.570


A relaxed structure of La2CuP. Source: the Alexandria database, functional PBE-GGA.

Values from the calculation:
Space group: No. 123

a b c (Å): 4.281 4.281 6.056
angles (deg): 90.00 90.00 90.00
Element x y z (fractional)
1 La 0.000 0.000 0.000
2 La 0.500 0.500 0.500
3 Cu 0.000 0.000 0.500
4 P 0.500 0.500 0.000


A relaxed structure of La2CuP. Source: the Alexandria database, functional PBE-GGA.

Values from the calculation:
Space group: No. 119

a b c (Å): 6.127 6.127 6.127
angles (deg): 139.57 139.57 58.51
Element x y z (fractional)
1 La 0.000 0.000 0.000
2 La 0.750 0.250 0.500
3 Cu 0.500 0.500 0.000
4 P 0.250 0.750 0.500


A relaxed structure of LaCuP2Pd. Source: the Alexandria database, functional PBE-GGA.

Values from the calculation:
Space group: No. 119

a b c (Å): 5.861 5.861 5.861
angles (deg): 138.77 138.77 59.72
Element x y z (fractional)
1 La 0.000 0.000 0.000
2 Cu 0.750 0.250 0.500
3 P 0.384 0.384 0.000
4 P 0.616 0.616 0.000
5 Pd 0.250 0.750 0.500


A relaxed structure of LaCu2PPd2. Source: the Alexandria database, functional PBE-GGA.

Values from the calculation:
Space group: No. 123

a b c (Å): 4.358 4.358 5.847
angles (deg): 90.00 90.00 90.00
Element x y z (fractional)
1 La 0.000 0.000 0.000
2 Cu 0.000 0.500 0.500
3 Cu 0.500 0.000 0.500
4 P 0.000 0.000 0.500
5 Pd 0.500 0.500 0.231
6 Pd 0.500 0.500 0.769


Values for magnetic moment, μB per cell, ordered as above
0.0; 0.3; 1.4; 0.0; 0.0; 0.0
Values for electronic total energy, Ry per atom, ordered as above
-0.40742; -0.41339; -0.40705; -0.39738; -0.43041; -0.38645